No. 1
LaBe2Cl | Alexandria via LeMat-Bulk | PBE | relaxed; formation energy from raw total energies = -0.277 eV per atom; E above lowest polymorph = 0.0 kJ per mole of atoms
1.0
3.969 0.025 -0.015
2.150 3.337 -0.015
-0.063 -0.035 6.448
Be La Cl
2 1 1
Cartesian
5.795 3.184 5.882
3.837 2.108 5.547
1.767 0.971 1.310
3.742 2.056 3.303


No. 2
LaBeNb2Cl | Alexandria via LeMat-Bulk | PBE | relaxed; formation energy from raw total energies = 0.622 eV per atom
1.0
4.380 0.000 0.000
0.000 5.881 0.000
0.000 0.000 4.380
Cl La Nb Be
1 1 2 1
Cartesian
0.000 2.940 0.000
2.190 2.940 2.190
2.190 0.000 0.000
0.000 0.000 2.190
0.000 0.000 0.000


No. 3
LaBeP2Cl | Alexandria via LeMat-Bulk | PBE | relaxed; formation energy from raw total energies = -0.697 eV per atom; E above lowest polymorph = 0.0 kJ per mole of atoms
1.0
4.307 0.000 0.000
0.000 4.307 0.000
0.000 0.000 5.119
Cl P Be La
1 2 1 1
Cartesian
0.000 0.000 2.560
2.154 0.000 0.000
0.000 2.154 0.000
0.000 0.000 0.000
2.154 2.154 2.560


No. 4
LaBeP2Cl | Alexandria via LeMat-Bulk | PBE | relaxed; formation energy from raw total energies = 0.643 eV per atom; E above lowest polymorph = 129.3 kJ per mole of atoms
1.0
5.657 0.000 0.000
0.000 5.657 0.000
0.000 0.000 5.425
P Cl La Be
2 1 1 1
Cartesian
0.000 2.829 0.000
2.829 0.000 0.000
0.000 0.000 2.713
0.000 0.000 0.000
2.829 2.829 2.713


No. 5
La2BePCl | Alexandria via LeMat-Bulk | PBE | relaxed; formation energy from raw total energies = -0.366 eV per atom
1.0
5.436 0.000 0.000
0.000 3.983 0.000
0.000 0.000 5.436
Cl Be La P
1 1 2 1
Cartesian
0.000 0.000 0.000
0.000 1.992 0.000
2.718 0.000 0.000
0.000 0.000 2.718
2.718 1.992 2.718


No. 6
Rb2LaBeCl6 | Alexandria via LeMat-Bulk | PBE | relaxed; formation energy from raw total energies = -1.625 eV per atom
1.0
7.320 0.000 0.000
0.000 7.320 0.000
3.660 3.660 5.195
Cl La Rb Be
6 1 2 1
Cartesian
7.320 7.320 2.864
2.027 5.293 0.000
5.293 5.293 0.000
2.027 2.027 0.000
3.660 3.660 2.331
5.293 2.027 0.000
0.000 0.000 0.000
7.320 3.660 2.597
3.660 7.320 2.597
3.660 3.660 0.000


No. 7
LaBeSCl2 | Alexandria via LeMat-Bulk | PBE | relaxed; formation energy from raw total energies = -1.209 eV per atom; E above lowest polymorph = 0.0 kJ per mole of atoms
1.0
4.499 0.000 0.000
0.000 4.499 0.000
0.000 0.000 4.721
S Cl La Be
1 2 1 1
Cartesian
0.000 0.000 2.360
0.000 2.249 0.000
2.249 0.000 0.000
2.249 2.249 2.360
0.000 0.000 0.000


No. 8
LaBeSCl2 | Alexandria via LeMat-Bulk | PBE | relaxed; formation energy from raw total energies = -0.696 eV per atom; E above lowest polymorph = 49.6 kJ per mole of atoms
1.0
5.536 0.000 0.000
0.000 5.536 0.000
0.000 0.000 5.634
La Cl S Be
1 2 1 1
Cartesian
0.000 0.000 0.000
2.768 0.000 0.000
0.000 2.768 0.000
0.000 0.000 2.817
2.768 2.768 2.817


No. 9
LaY2BeCl | Alexandria via LeMat-Bulk | PBE | relaxed; formation energy from raw total energies = 0.043 eV per atom
1.0
5.236 0.000 0.000
0.000 5.657 0.000
0.000 0.000 5.236
La Be Y Cl
1 1 2 1
Cartesian
0.000 2.829 0.000
0.000 0.000 0.000
2.618 0.000 0.000
0.000 0.000 2.618
2.618 2.829 2.618


No. 10
LiBe2Cl | Alexandria via LeMat-Bulk | PBE | relaxed; formation energy from raw total energies = 1.055 eV per atom; E above lowest polymorph = 115.8 kJ per mole of atoms
1.0
-1.111 0.714 4.490
-4.087 1.993 1.111
-3.375 -2.545 2.009
Cl Li Be
1 1 2
Cartesian
-4.287 0.081 3.805
0.000 0.000 0.000
-6.430 0.121 5.708
-2.143 0.040 1.903


No. 11
LiBe2Cl | Alexandria via LeMat-Bulk | PBE | relaxed; formation energy from raw total energies = 0.560 eV per atom; E above lowest polymorph = 68.1 kJ per mole of atoms
1.0
2.865 0.000 0.000
0.000 2.865 0.000
0.000 0.000 7.190
Be Cl Li
2 1 1
Cartesian
0.000 0.000 0.032
0.000 0.000 3.563
1.432 1.432 1.798
1.432 1.432 5.393


No. 12
LiBeCl2 | Alexandria via LeMat-Bulk | PBE | relaxed; formation energy from raw total energies = -0.651 eV per atom; E above lowest polymorph = 23.3 kJ per mole of atoms
1.0
-3.870 3.672 0.329
-3.606 -3.870 0.769
-2.912 0.262 6.239
Cl Li Be
4 2 2
Cartesian
-4.847 0.273 5.061
-3.748 2.020 1.875
-3.315 -2.037 2.069
-8.866 -0.127 5.671
-5.128 -1.853 3.779
-3.738 -0.099 0.549
0.000 0.000 0.000
-5.260 1.918 3.559


No. 13
LiBe2Cl6 | Alexandria via LeMat-Bulk | PBE | relaxed; formation energy from raw total energies = -1.263 eV per atom
1.0
-4.076 -3.719 -2.291
4.468 -8.162 1.643
-6.652 0.947 6.643
Cl Be Li
12 4 2
Cartesian
-3.236 -9.323 5.597
-5.269 -7.261 3.898
-3.630 -2.096 3.515
-0.991 -3.673 2.097
-1.938 -7.010 0.692
-3.024 -1.610 0.397
-2.084 -6.341 4.527
-3.209 -5.817 7.647
-2.630 -8.838 2.480
-3.051 -5.117 -1.653
-4.176 -4.593 1.467
-4.323 -3.923 5.302
-3.587 -5.994 0.101
-2.913 -3.018 1.860
-3.347 -7.916 4.135
-2.673 -4.939 5.893
-7.600 -0.041 6.038
1.340 -10.893 -0.044


No. 14
LiBeCl2 | Alexandria via LeMat-Bulk | PBE | relaxed; formation energy from raw total energies = -0.624 eV per atom; E above lowest polymorph = 25.9 kJ per mole of atoms
1.0
3.404 0.000 0.000
0.000 8.276 0.000
0.000 0.000 3.391
Cl Li Be
2 1 1
Cartesian
0.000 0.000 0.000
1.702 4.138 0.000
1.702 0.000 1.695
0.000 4.138 1.695